Crystalline BSb2F at its relaxed geometry, computed with PBE-GGA.

Geometry as extended XYZ:
```
4
Lattice="0.0000 3.1992 3.1992 3.1992 0.0000 3.1992 3.1992 3.1992 0.0000" Properties=species:S:1:pos:R:3 pbc="T T T"
Sb 1.5996 1.5996 1.5996
Sb 4.7988 4.7988 4.7988
B 0.0000 0.0000 0.0000
F 3.1992 3.1992 3.1992
```

- Calculated density: 6931 kg/m³
- Electronic total energy: -4.07 eV/atom
- Relative energy among the computed polymorphs: 141 meV/atom
- DOS(E_F): 1.4 states/eV per cell
- Raw formation energy: 0.13 eV/atom


Crystalline BSbF at its relaxed geometry, computed with PBE-GGA.

Geometry as extended XYZ:
```
6
Lattice="-1.5324 1.6962 -2.2219 -4.4708 -3.4670 0.4491 0.2204 4.5427 4.9092" Properties=species:S:1:pos:R:3 pbc="T T T"
B -4.8640 1.4990 1.2421
B -4.6503 0.8381 2.8743
F -3.9008 1.1353 0.3003
F -1.1595 4.7001 3.4015
Sb -0.9483 2.2477 1.4209
Sb -3.1315 2.6512 3.2454
```

- Calculated density: 4575 kg/m³
- Electronic total energy: -5.12 eV/atom
- Relative energy among the computed polymorphs: 0 meV/atom
- DOS(E_F): 0.5 states/eV per cell
- Raw formation energy: -0.90 eV/atom


Crystalline BSbF2 at its relaxed geometry, computed with PBE-GGA.

Geometry as extended XYZ:
```
4
Lattice="0.2208 2.4460 3.4772 0.5501 4.2037 -0.3861 -3.1894 2.6591 0.9380" Properties=species:S:1:pos:R:3 pbc="T T T"
F -1.8140 6.9816 3.0219
F -0.6047 2.3272 1.0073
Sb -1.2093 4.6544 2.0146
B 0.0000 0.0000 0.0000
```

- Calculated density: 5192 kg/m³
- Electronic total energy: -3.57 eV/atom
- Relative energy among the computed polymorphs: 876 meV/atom
- DOS(E_F): 4.0 states/eV per cell
- Raw formation energy: 0.06 eV/atom


Crystalline BSbF at its relaxed geometry, computed with PBE-GGA.

Geometry as extended XYZ:
```
12
Lattice="-1.2106 -3.2980 -1.6333 3.9295 -3.1602 3.4686 -5.7380 0.8914 7.3127" Properties=species:S:1:pos:R:3 pbc="T T T"
Sb -3.4889 -2.4796 4.6768
Sb -1.2887 -1.6731 2.9190
Sb 1.3449 -4.5054 2.7547
Sb -2.1929 -2.8075 8.3096
B -1.6191 -2.7960 0.8819
B -4.1688 -0.5441 5.8220
B 0.6650 -2.5700 3.9000
B -2.5233 -3.9304 6.2726
F -1.3249 -4.4330 5.7780
F 0.4280 -2.8405 5.2432
F -4.4058 -0.8147 7.1652
F -0.4206 -3.2986 0.3874
```

- Calculated density: 4660 kg/m³
- Electronic total energy: -4.97 eV/atom
- Relative energy among the computed polymorphs: 151 meV/atom
- Raw formation energy: -0.74 eV/atom


Crystalline BSb2F at its relaxed geometry, computed with PBE-GGA.

Geometry as extended XYZ:
```
8
Lattice="-0.3590 -1.5647 -5.5462 -4.5279 -3.3608 1.2412 -5.6943 1.5741 -3.0809" Properties=species:S:1:pos:R:3 pbc="T T T"
Sb -2.1989 -0.9388 -3.8488
Sb -8.3569 -2.9882 -6.1296
Sb -6.2933 -0.8074 -3.8730
Sb -4.3135 -1.9682 -0.9204
B -2.4435 -2.4627 -2.1525
B -6.3329 -2.1247 -1.9961
F 0.0000 0.0000 0.0000
F -4.2484 -1.2266 -5.3898
```

- Calculated density: 5171 kg/m³
- Electronic total energy: -4.21 eV/atom
- Relative energy among the computed polymorphs: 0 meV/atom
- DOS(E_F): 2.3 states/eV per cell
- Raw formation energy: -0.01 eV/atom


Crystalline BSbF2 at its relaxed geometry, computed with PBE-GGA.

Geometry as extended XYZ:
```
8
Lattice="5.5866 0.0000 0.0000 0.0000 5.5866 0.0000 2.7933 2.7933 3.9573" Properties=species:S:1:pos:R:3 pbc="T T T"
B 2.7933 2.7933 0.0000
B 2.7933 5.5866 1.9786
F 2.7938 4.1899 0.9893
F 4.1899 5.5871 2.9679
F 2.7928 1.3966 0.9893
F 6.9832 5.5861 2.9679
Sb 0.0000 0.0000 0.0000
Sb 5.5866 2.7933 1.9786
```

- Calculated density: 4587 kg/m³
- Electronic total energy: -3.97 eV/atom
- Relative energy among the computed polymorphs: 480 meV/atom
- DOS(E_F): 0.0 states/eV per cell
- Raw formation energy: -0.33 eV/atom


Crystalline B2SbF at its relaxed geometry, computed with PBE-GGA.

Geometry as extended XYZ:
```
4
Lattice="0.0000 2.9157 2.9157 2.9157 0.0000 2.9157 2.9157 2.9157 0.0000" Properties=species:S:1:pos:R:3 pbc="T T T"
F 0.0000 0.0000 0.0000
B 1.4579 1.4579 1.4579
B 4.3736 4.3736 4.3736
Sb 2.9157 2.9157 2.9157
```

- Calculated density: 5439 kg/m³
- Electronic total energy: -3.88 eV/atom
- Relative energy among the computed polymorphs: 584 meV/atom
- DOS(E_F): 0.5 states/eV per cell
- Raw formation energy: 0.96 eV/atom


Crystalline BSbF at its relaxed geometry, computed with PBE-GGA.

Geometry as extended XYZ:
```
6
Lattice="-0.6686 1.7951 -2.5461 -5.8989 -0.5571 0.7209 -0.1748 4.8022 3.0982" Properties=species:S:1:pos:R:3 pbc="T T T"
B -5.8941 4.6122 2.9972
B -0.8482 1.4280 -1.7243
F -2.0953 1.7537 -1.1508
F -4.6470 4.2865 2.4238
Sb -1.2805 2.9540 2.1186
Sb -5.4618 3.0862 -0.8456
```

- Calculated density: 4643 kg/m³
- Electronic total energy: -5.12 eV/atom
- Relative energy among the computed polymorphs: 4 meV/atom
- DOS(E_F): 0.2 states/eV per cell
- Raw formation energy: -0.89 eV/atom


Crystalline BSbF at its relaxed geometry, computed with PBE-GGA.

Geometry as extended XYZ:
```
6
Lattice="-4.4338 0.5319 -0.3804 -1.1794 -4.6335 0.9780 -0.9380 0.7793 4.8443" Properties=species:S:1:pos:R:3 pbc="T T T"
B -1.1042 -2.5783 1.1000
B -5.4471 -0.7440 4.3419
Sb -4.4756 -2.4630 2.8884
Sb -2.0757 -0.8593 2.5534
F -2.0738 -3.5250 0.8456
F -4.4775 0.2028 4.5963
```

- Calculated density: 4685 kg/m³
- Electronic total energy: -5.08 eV/atom
- Relative energy among the computed polymorphs: 43 meV/atom
- DOS(E_F): 0.5 states/eV per cell
- Raw formation energy: -0.85 eV/atom


Crystalline B2SbF at its relaxed geometry, computed with PBE-GGA.

Geometry as extended XYZ:
```
8
Lattice="3.3581 0.0000 0.0000 0.0000 3.3581 0.0000 1.6791 1.6791 10.3785" Properties=species:S:1:pos:R:3 pbc="T T T"
Sb 0.0000 0.0000 0.0000
Sb 3.3581 1.6791 5.1893
B 4.1977 3.3581 7.7839
B 2.5186 3.3581 7.7839
B 1.6791 2.5186 2.5946
B 1.6791 0.8395 2.5946
F 1.6791 3.3581 5.1893
F 1.6791 1.6791 0.0000
```

- Calculated density: 4608 kg/m³
- Electronic total energy: -4.47 eV/atom
- Relative energy among the computed polymorphs: 0 meV/atom
- DOS(E_F): 2.3 states/eV per cell
- Raw formation energy: 0.37 eV/atom


Crystalline BSb3F at its relaxed geometry, computed with PBE-GGA.

Geometry as extended XYZ:
```
5
Lattice="-0.2894 -4.7127 -0.8453 -0.4318 -0.8177 4.7066 -4.7684 0.3601 -0.3749" Properties=species:S:1:pos:R:3 pbc="T T T"
B 0.0000 0.0000 0.0000
Sb -0.2159 -0.4088 2.3533
Sb -0.1447 -2.3563 -0.4226
Sb -2.3842 0.1801 -0.1875
F -2.7448 -2.5851 1.7432
```

- Calculated density: 5945 kg/m³
- Electronic total energy: -3.79 eV/atom
- Relative energy among the computed polymorphs: 0 meV/atom
- DOS(E_F): 3.7 states/eV per cell
- Raw formation energy: 0.39 eV/atom


Crystalline BSbF2 at its relaxed geometry, computed with PBE-GGA.

Geometry as extended XYZ:
```
4
Lattice="1.7790 0.0000 10.3102 -0.8895 1.5407 10.3102 -0.8895 -1.5407 10.3102" Properties=species:S:1:pos:R:3 pbc="T T T"
F 0.0000 0.0000 1.3235
F 0.0000 0.0000 29.6070
Sb 0.0000 0.0000 15.4653
B 0.0000 0.0000 0.0000
```

- Calculated density: 3341 kg/m³
- Electronic total energy: -4.45 eV/atom
- Relative energy among the computed polymorphs: 0 meV/atom
- DOS(E_F): 1.8 states/eV per cell
- Raw formation energy: -0.81 eV/atom


Crystalline BSb2SeF at its relaxed geometry, computed with PBE-GGA.

Geometry as extended XYZ:
```
5
Lattice="-1.9316 4.9999 1.2841 -3.5942 -0.9998 -1.5136 -1.5608 -1.8726 4.9433" Properties=species:S:1:pos:R:3 pbc="T T T"
Se 0.0000 0.0000 0.0000
F -1.7971 -0.4999 -0.7568
B -3.5433 1.0638 2.3569
Sb -0.7804 -0.9363 2.4716
Sb -0.9658 2.4999 0.6420
```

- Calculated density: 4783 kg/m³
- Electronic total energy: -3.20 eV/atom
- DOS(E_F): 3.8 states/eV per cell
- Raw formation energy: 0.86 eV/atom


Crystalline SiB2SbF at its relaxed geometry, computed with PBE-GGA.

Geometry as extended XYZ:
```
5
Lattice="3.8719 0.0000 0.0000 0.0000 5.6234 0.0000 0.0000 0.0000 3.8719" Properties=species:S:1:pos:R:3 pbc="T T T"
B 0.0000 0.0000 1.9359
B 1.9359 0.0000 0.0000
F 1.9359 2.8117 1.9359
Si 0.0000 0.0000 0.0000
Sb 0.0000 2.8117 0.0000
```

- Calculated density: 3752 kg/m³
- Electronic total energy: -4.20 eV/atom
- DOS(E_F): 3.6 states/eV per cell
- Raw formation energy: 0.75 eV/atom


Crystalline BSbTe2F at its relaxed geometry, computed with PBE-GGA.

Geometry as extended XYZ:
```
5
Lattice="-1.2935 4.5137 1.0809 -2.7158 0.1739 -3.9760 -3.7771 -1.6827 2.5064" Properties=species:S:1:pos:R:3 pbc="T T T"
Te -1.3579 0.0869 -1.9880
Te -0.6468 2.2568 0.5405
F -3.8932 1.5024 -0.1944
Sb -1.8886 -0.8413 1.2532
B 0.0000 0.0000 0.0000
```

- Calculated density: 6017 kg/m³
- Electronic total energy: -3.41 eV/atom
- Relative energy among the computed polymorphs: 0 meV/atom
- DOS(E_F): 3.6 states/eV per cell
- Raw formation energy: 0.38 eV/atom


Crystalline ScB3F at its relaxed geometry, computed with PBE-GGA.

Geometry as extended XYZ:
```
5
Lattice="-4.0822 -0.8273 2.1615 2.3142 -1.5219 3.7880 0.0332 4.3612 1.7319" Properties=species:S:1:pos:R:3 pbc="T T T"
B -2.0411 -0.4137 1.0807
B 1.1571 -0.7609 1.8940
B 0.0166 2.1806 0.8660
F -0.8674 1.0060 3.8407
Sc 0.0000 0.0000 0.0000
```

- Calculated density: 1549 kg/m³
- Electronic total energy: -3.59 eV/atom
- Relative energy among the computed polymorphs: 954 meV/atom
- DOS(E_F): 4.2 states/eV per cell
- Raw formation energy: 2.06 eV/atom


Crystalline ScB3F12 at its relaxed geometry, computed with PBE-GGA.

Geometry as extended XYZ:
```
32
Lattice="5.1580 0.0000 0.0000 0.0000 8.0939 -4.6730 0.0000 0.0000 9.3461" Properties=species:S:1:pos:R:3 pbc="T T T"
B 1.2895 7.2884 1.4460
B 3.8685 4.8964 3.7571
B 1.2895 3.1975 0.9159
B 1.2895 5.7020 -2.3619
B 3.8685 0.8056 3.2271
B 3.8685 2.3920 7.0349
F 2.7043 2.1789 6.1416
F 5.0327 4.2294 4.3883
F 1.2895 1.8902 0.6338
F 2.4537 6.4083 1.1838
F 0.1253 3.8646 0.2848
F 3.8685 4.5496 2.4063
F 3.8685 7.9030 -0.4702
F 2.7043 1.6857 3.4892
F 5.0327 1.6857 3.4892
F 3.8685 0.3963 1.9539
F 1.2895 7.6977 2.7192
F 3.8685 6.2037 4.0393
F 1.2895 3.5443 2.2668
F 1.2895 0.1909 5.1432
F 2.4537 3.8646 0.2848
F 1.2895 4.3587 6.6091
F 3.8685 3.7353 -1.9361
F 2.7043 4.2294 4.3883
F 2.4537 5.9150 -1.4686
F 3.8685 1.4940 8.0260
F 1.2895 6.6000 -3.3529
F 5.0327 2.1789 6.1416
F 0.1253 6.4083 1.1838
F 0.1253 5.9150 -1.4686
Sc 1.2895 2.6980 4.6730
Sc 3.8685 5.3960 0.0000
```

- Calculated density: 2599 kg/m³
- Electronic total energy: -6.10 eV/atom
- DOS(E_F): 0.0 states/eV per cell
- Raw formation energy: -3.05 eV/atom


Crystalline ScB3F at its relaxed geometry, computed with PBE-GGA.

Geometry as extended XYZ:
```
5
Lattice="-3.1507 2.1660 0.1193 -1.6979 -2.5933 2.2415 1.3501 1.7932 3.0974" Properties=species:S:1:pos:R:3 pbc="T T T"
B -0.8490 -1.2967 1.1207
B -1.5753 1.0830 0.0596
B 0.6750 0.8966 1.5487
Sc -1.7493 0.6829 2.7291
F 0.0000 0.0000 0.0000
```

- Calculated density: 2859 kg/m³
- Electronic total energy: -4.54 eV/atom
- Relative energy among the computed polymorphs: 0 meV/atom
- DOS(E_F): 2.2 states/eV per cell
- Raw formation energy: 1.11 eV/atom


Crystalline Sc2BF at its relaxed geometry, computed with PBE-GGA.

Geometry as extended XYZ:
```
4
Lattice="1.7823 0.0000 8.1432 -0.8912 1.5435 8.1432 -0.8912 -1.5435 8.1432" Properties=species:S:1:pos:R:3 pbc="T T T"
F 0.0000 0.0000 12.2149
Sc 0.0000 0.0000 2.3369
Sc 0.0000 0.0000 22.0928
B 0.0000 0.0000 0.0000
```

- Calculated density: 2958 kg/m³
- Electronic total energy: -5.52 eV/atom
- Relative energy among the computed polymorphs: 1224 meV/atom
- DOS(E_F): 3.1 states/eV per cell
- Raw formation energy: -0.21 eV/atom


Crystalline ScB2F at its relaxed geometry, computed with PBE-GGA.

Geometry as extended XYZ:
```
4
Lattice="0.0000 2.8862 2.8862 2.8862 0.0000 2.8862 2.8862 2.8862 0.0000" Properties=species:S:1:pos:R:3 pbc="T T T"
B 1.4431 1.4431 1.4431
B 4.3294 4.3294 4.3294
F 0.0000 0.0000 0.0000
Sc 2.8862 2.8862 2.8862
```

- Calculated density: 2955 kg/m³
- Electronic total energy: -4.66 eV/atom
- Relative energy among the computed polymorphs: 1278 meV/atom
- DOS(E_F): 2.1 states/eV per cell
- Raw formation energy: 0.72 eV/atom